Entry 1:
Material: Cd2PCl
Method: DFT, PBE
State: optimized geometry

Computed properties:
Electronic total energy = -2.666 eV per atom
Spin magnetization = 0.00 Bohr magnetons per cell
Energy relative to the elements, uncorrected = -394 meV/atom
Crystal system = orthorhombic
Energy above the lowest structure with this stoichiometry = 0.050 eV per atom
Fermi-level density of states = 0.2 states/eV/f.u.

Cell lengths 4.4048, 9.5484, 5.6770 Å; angles 90.00, 90.00, 90.00 degrees
Atoms (fractional coordinates):
Cd 0.0000 0.0585 0.0000
Cd 0.0000 0.6531 0.9043
Cd 0.5000 0.3469 0.4043
Cd 0.5000 0.9415 0.5000
P 0.0000 0.8718 0.6794
P 0.5000 0.1282 0.1794
Cl 0.0000 0.4093 0.6670
Cl 0.5000 0.5907 0.1670

Entry 2:
Material: Cd2PCl
Method: DFT, PBE
State: optimized geometry

Computed properties:
Electronic total energy = -2.533 eV per atom
Spin magnetization = 0.00 Bohr magnetons per cell
Energy relative to the elements, uncorrected = -261 meV/atom
Crystal system = tetragonal
Energy above the lowest structure with this stoichiometry = 0.183 eV per atom
Fermi-level density of states = 0.9 states/eV/f.u.

Cell lengths 4.0102, 4.0102, 5.4828 Å; angles 90.00, 90.00, 90.00 degrees
Atoms (fractional coordinates):
Cd 0.0000 0.0000 0.0000
Cd 0.5000 0.5000 0.5000
P 0.0000 0.0000 0.5000
Cl 0.5000 0.5000 0.0000

Entry 3:
Material: Cd2PCl
Method: DFT, PBE
State: optimized geometry

Computed properties:
Electronic total energy = -2.488 eV per atom
Spin magnetization = 0.00 Bohr magnetons per cell
Energy relative to the elements, uncorrected = -217 meV/atom
Crystal system = monoclinic
Energy above the lowest structure with this stoichiometry = 0.227 eV per atom
Fermi-level density of states = 1.0 states/eV/f.u.

Cell lengths 6.9622, 6.9622, 3.9569 Å; angles 90.08, 90.08, 30.01 degrees
Atoms (fractional coordinates):
Cd 0.0000 0.0000 0.0000
Cd 0.1924 0.1924 0.5017
P 0.5460 0.5460 0.5002
Cl 0.7965 0.7965 0.0002

Entry 4:
Material: CdP4Cl
Method: DFT, PBE
State: optimized geometry

Computed properties:
Electronic total energy = -4.175 eV per atom
Spin magnetization = 0.00 Bohr magnetons per cell
Energy relative to the elements, uncorrected = -108 meV/atom
Crystal system = triclinic
Energy above the lowest structure with this stoichiometry = 0.057 eV per atom

Cell lengths 5.7937, 7.8671, 8.1915 Å; angles 66.94, 84.86, 79.42 degrees
Atoms (fractional coordinates):
Cd 0.0776 0.4689 0.2276
Cd 0.9224 0.5311 0.7724
P 0.3028 0.6082 0.5726
P 0.3260 0.0457 0.6623
P 0.3510 0.9068 0.4796
P 0.3955 0.6109 0.3031
P 0.6045 0.3891 0.6969
P 0.6490 0.0932 0.5204
P 0.6740 0.9543 0.3377
P 0.6972 0.3918 0.4274
Cl 0.1558 0.2677 0.0445
Cl 0.8442 0.7323 0.9555

Entry 5:
Material: Cd2PCl
Method: DFT, PBE
State: optimized geometry

Computed properties:
Electronic total energy = -2.395 eV per atom
Spin magnetization = 0.00 Bohr magnetons per cell
Energy relative to the elements, uncorrected = -124 meV/atom
Crystal system = orthorhombic
Energy above the lowest structure with this stoichiometry = 0.320 eV per atom
Fermi-level density of states = 1.1 states/eV/f.u.

Cell lengths 3.4081, 3.6383, 7.2212 Å; angles 90.00, 90.00, 90.00 degrees
Atoms (fractional coordinates):
Cd 0.0000 0.0000 0.2045
Cd 0.0000 0.0000 0.7955
P 0.5000 0.5000 0.0000
Cl 0.0000 0.5000 0.5000

Entry 6:
Material: Cd2PCl
Method: DFT, PBE
State: optimized geometry

Computed properties:
Electronic total energy = -2.438 eV per atom
Spin magnetization = 0.00 Bohr magnetons per cell
Energy relative to the elements, uncorrected = -166 meV/atom
Crystal system = orthorhombic
Energy above the lowest structure with this stoichiometry = 0.278 eV per atom
Fermi-level density of states = 1.0 states/eV/f.u.

Cell lengths 7.4013, 7.4013, 7.4013 Å; angles 151.87, 149.60, 41.89 degrees
Atoms (fractional coordinates):
Cd 0.0000 0.0000 0.0000
Cd 0.6891 0.1891 0.5000
P 0.5416 0.5416 0.0000
Cl 0.2868 0.7868 0.5000

Entry 7:
Material: Cd4P2Cl3
Method: DFT, PBE
State: optimized geometry

Computed properties:
Electronic total energy = -2.701 eV per atom
Spin magnetization = 0.00 Bohr magnetons per cell
Energy relative to the elements, uncorrected = -477 meV/atom
Crystal system = monoclinic
Energy above the lowest structure with this stoichiometry = 0.133 eV per atom
Fermi-level density of states = 1.6 states/eV/f.u.

Cell lengths 8.4752, 8.4752, 9.5553 Å; angles 93.60, 93.60, 48.68 degrees
Atoms (fractional coordinates):
Cd 0.1587 0.7183 0.9744
Cd 0.2612 0.3065 0.2626
Cd 0.2817 0.8413 0.5256
Cd 0.3065 0.2612 0.7626
Cd 0.6935 0.7388 0.2374
Cd 0.7183 0.1587 0.4744
Cd 0.7388 0.6935 0.7374
Cd 0.8413 0.2817 0.0256
P 0.1702 0.4186 0.0078
P 0.4186 0.1702 0.5078
P 0.5814 0.8298 0.4922
P 0.8298 0.5814 0.9922
Cl 0.0598 0.7738 0.3942
Cl 0.2262 0.9402 0.1058
Cl 0.3808 0.6192 0.7500
Cl 0.6192 0.3808 0.2500
Cl 0.7738 0.0598 0.8942
Cl 0.9402 0.2262 0.6058

Entry 8:
Material: CdP4Cl
Method: DFT, PBE
State: optimized geometry

Computed properties:
Electronic total energy = -4.231 eV per atom
Spin magnetization = 0.00 Bohr magnetons per cell
Energy relative to the elements, uncorrected = -165 meV/atom
Crystal system = triclinic
Energy above the lowest structure with this stoichiometry = 0.000 eV per atom

Cell lengths 4.6915, 8.7318, 8.9831 Å; angles 73.37, 86.07, 75.07 degrees
Atoms (fractional coordinates):
Cd 0.0741 0.1999 0.0104
Cd 0.9259 0.8001 0.9896
P 0.1702 0.3311 0.2244
P 0.2356 0.4763 0.7568
P 0.3837 0.5309 0.1011
P 0.4250 0.6062 0.5351
P 0.5750 0.3938 0.4649
P 0.6163 0.4691 0.8989
P 0.7644 0.5237 0.2432
P 0.8298 0.6689 0.7756
Cl 0.2570 0.0028 0.8436
Cl 0.7430 0.9972 0.1564

Entry 9:
Material: CdP4Cl
Method: DFT, PBE
State: optimized geometry

Computed properties:
Electronic total energy = -3.942 eV per atom
Spin magnetization = 0.00 Bohr magnetons per cell
Energy relative to the elements, uncorrected = 125 meV/atom
Crystal system = cubic
Energy above the lowest structure with this stoichiometry = 0.289 eV per atom
Fermi-level density of states = 2.0 states/eV/f.u.

Cell lengths 5.8376, 5.8376, 5.8376 Å; angles 60.00, 60.00, 60.00 degrees
Atoms (fractional coordinates):
Cd 0.0000 0.0000 0.0000
P 0.4053 0.4053 0.4053
P 0.4053 0.4053 0.7840
P 0.4053 0.7840 0.4053
P 0.7840 0.4053 0.4053
Cl 0.7500 0.7500 0.7500

Entry 10:
Material: Cd4PCl
Method: DFT, PBE
State: optimized geometry

Computed properties:
Electronic total energy = -1.623 eV per atom
Spin magnetization = 0.00 Bohr magnetons per cell
Energy relative to the elements, uncorrected = 196 meV/atom
Crystal system = cubic
Fermi-level density of states = 1.3 states/eV/f.u.

Cell lengths 5.7855, 5.7855, 5.7855 Å; angles 60.00, 60.00, 60.00 degrees
Atoms (fractional coordinates):
Cd 0.1255 0.1255 0.1255
Cd 0.1255 0.1255 0.6235
Cd 0.1255 0.6235 0.1255
Cd 0.6235 0.1255 0.1255
P 0.5000 0.5000 0.5000
Cl 0.7500 0.7500 0.7500

Entry 11:
Material: Cd2PCl
Method: DFT, PBE
State: optimized geometry

Computed properties:
Electronic total energy = -2.390 eV per atom
Spin magnetization = 0.00 Bohr magnetons per cell
Energy relative to the elements, uncorrected = -119 meV/atom
Crystal system = monoclinic
Energy above the lowest structure with this stoichiometry = 0.325 eV per atom
Fermi-level density of states = 0.6 states/eV/f.u.

Cell lengths 5.4592, 5.4592, 3.2482 Å; angles 103.99, 103.99, 88.32 degrees
Atoms (fractional coordinates):
Cd 0.0000 0.5000 0.0000
Cd 0.5000 0.0000 0.0000
P 0.0000 0.0000 0.0000
Cl 0.5000 0.5000 0.0000

Entry 12:
Material: Cd2PCl
Method: DFT, PBE
State: optimized geometry

Computed properties:
Electronic total energy = -2.236 eV per atom
Spin magnetization = 0.00 Bohr magnetons per cell
Energy relative to the elements, uncorrected = 35 meV/atom
Crystal system = cubic
Energy above the lowest structure with this stoichiometry = 0.479 eV per atom
Fermi-level density of states = 0.3 states/eV/f.u.

Cell lengths 4.8971, 4.8971, 4.8971 Å; angles 60.00, 60.00, 60.00 degrees
Atoms (fractional coordinates):
Cd 0.2500 0.2500 0.2500
Cd 0.7500 0.7500 0.7500
P 0.0000 0.0000 0.0000
Cl 0.5000 0.5000 0.5000

Entry 13:
Material: CdP2PtCl
Method: DFT, PBE
State: optimized geometry

Computed properties:
Electronic total energy = -2.625 eV per atom
Spin magnetization = 0.00 Bohr magnetons per cell
Energy relative to the elements, uncorrected = 1300 meV/atom
Crystal system = tetragonal
Energy above the lowest structure with this stoichiometry = 0.887 eV per atom
Fermi-level density of states = 4.4 states/eV/f.u.

Cell lengths 4.9723, 4.9723, 4.8593 Å; angles 90.00, 90.00, 90.00 degrees
Atoms (fractional coordinates):
Cd 0.0000 0.0000 0.0000
P 0.0000 0.5000 0.0000
P 0.5000 0.0000 0.0000
Pt 0.5000 0.5000 0.5000
Cl 0.0000 0.0000 0.5000

Entry 14:
Material: CdP2PtCl
Method: DFT, PBE
State: optimized geometry

Computed properties:
Electronic total energy = -3.512 eV per atom
Spin magnetization = 0.00 Bohr magnetons per cell
Energy relative to the elements, uncorrected = 412 meV/atom
Crystal system = tetragonal
Energy above the lowest structure with this stoichiometry = 0.000 eV per atom
Fermi-level density of states = 4.2 states/eV/f.u.

Cell lengths 4.6571, 4.6571, 5.2085 Å; angles 90.00, 90.00, 90.00 degrees
Atoms (fractional coordinates):
Cd 0.0000 0.0000 0.0000
P 0.0000 0.5000 0.5000
P 0.5000 0.0000 0.5000
Pt 0.5000 0.5000 0.5000
Cl 0.5000 0.5000 0.0000

Entry 15:
Material: CdRePCl2
Method: DFT, PBE
State: optimized geometry

Computed properties:
Electronic total energy = -4.237 eV per atom
Spin magnetization = 1.40 Bohr magnetons per cell
Energy relative to the elements, uncorrected = 256 meV/atom
Crystal system = tetragonal
Energy above the lowest structure with this stoichiometry = 0.000 eV per atom
Fermi-level density of states = 2.1 states/eV/f.u.

Cell lengths 4.9371, 4.9371, 4.6505 Å; angles 90.00, 90.00, 90.00 degrees
Atoms (fractional coordinates):
Cd 0.0000 0.0000 0.0000
Re 0.5000 0.5000 0.5000
P 0.5000 0.5000 0.0000
Cl 0.0000 0.5000 0.5000
Cl 0.5000 0.0000 0.5000

Entry 16:
Material: CdRePCl2
Method: DFT, PBE
State: optimized geometry

Computed properties:
Electronic total energy = -3.332 eV per atom
Spin magnetization = 4.21 Bohr magnetons per cell
Energy relative to the elements, uncorrected = 1162 meV/atom
Crystal system = tetragonal
Energy above the lowest structure with this stoichiometry = 0.906 eV per atom
Fermi-level density of states = 1.9 states/eV/f.u.

Cell lengths 4.9570, 4.9570, 5.4386 Å; angles 90.00, 90.00, 90.00 degrees
Atoms (fractional coordinates):
Cd 0.0000 0.0000 0.0000
Re 0.5000 0.5000 0.5000
P 0.0000 0.0000 0.5000
Cl 0.0000 0.5000 0.0000
Cl 0.5000 0.0000 0.0000

Entry 17:
Material: CdP2RuCl
Method: DFT, PBE
State: optimized geometry

Computed properties:
Electronic total energy = -3.104 eV per atom
Spin magnetization = 2.29 Bohr magnetons per cell
Energy relative to the elements, uncorrected = 1467 meV/atom
Crystal system = tetragonal
Energy above the lowest structure with this stoichiometry = 1.200 eV per atom
Fermi-level density of states = 5.1 states/eV/f.u.

Cell lengths 4.9298, 4.9298, 5.0820 Å; angles 90.00, 90.00, 90.00 degrees
Atoms (fractional coordinates):
Cd 0.0000 0.0000 0.0000
P 0.0000 0.5000 0.0000
P 0.5000 0.0000 0.0000
Ru 0.5000 0.5000 0.5000
Cl 0.0000 0.0000 0.5000

Entry 18:
Material: CdP2RuCl
Method: DFT, PBE
State: optimized geometry

Computed properties:
Electronic total energy = -4.304 eV per atom
Spin magnetization = 0.00 Bohr magnetons per cell
Energy relative to the elements, uncorrected = 267 meV/atom
Crystal system = tetragonal
Energy above the lowest structure with this stoichiometry = 0.000 eV per atom
Fermi-level density of states = 5.0 states/eV/f.u.

Cell lengths 4.5425, 4.5425, 5.1803 Å; angles 90.00, 90.00, 90.00 degrees
Atoms (fractional coordinates):
Cd 0.0000 0.0000 0.0000
P 0.0000 0.5000 0.5000
P 0.5000 0.0000 0.5000
Ru 0.5000 0.5000 0.5000
Cl 0.5000 0.5000 0.0000

Entry 19:
Material: CdPSCl2
Method: DFT, PBE
State: optimized geometry

Computed properties:
Electronic total energy = -2.369 eV per atom
Spin magnetization = 1.04 Bohr magnetons per cell
Energy relative to the elements, uncorrected = 460 meV/atom
Crystal system = tetragonal
Energy above the lowest structure with this stoichiometry = 0.480 eV per atom
Fermi-level density of states = 3.5 states/eV/f.u.

Cell lengths 5.0228, 5.0228, 5.3980 Å; angles 90.00, 90.00, 90.00 degrees
Atoms (fractional coordinates):
Cd 0.0000 0.0000 0.0000
P 0.5000 0.5000 0.5000
S 0.0000 0.0000 0.5000
Cl 0.0000 0.5000 0.0000
Cl 0.5000 0.0000 0.0000

Entry 20:
Material: Cd4PSCl2
Method: DFT, PBE
State: optimized geometry

Computed properties:
Electronic total energy = -2.545 eV per atom
Spin magnetization = 0.00 Bohr magnetons per cell
Energy relative to the elements, uncorrected = -434 meV/atom
Crystal system = orthorhombic
Fermi-level density of states = 1.4 states/eV/f.u.

Cell lengths 8.0495, 8.0495, 8.0495 Å; angles 120.21, 119.39, 90.35 degrees
Atoms (fractional coordinates):
Cd 0.2553 0.2337 0.0215
Cd 0.2586 0.2255 0.4669
Cd 0.2586 0.7917 0.0331
Cd 0.2878 0.7663 0.5215
Cd 0.7122 0.2337 0.4785
Cd 0.7414 0.2083 0.9669
Cd 0.7414 0.7745 0.5331
Cd 0.7447 0.7663 0.9785
P 0.0000 0.0000 0.0000
P 0.5000 0.0000 0.5000
S 0.5000 0.0000 0.0000
S 0.5000 0.5000 0.5000
Cl 0.0000 0.0000 0.5000
Cl 0.0000 0.5000 0.0000
Cl 0.0000 0.5000 0.5000
Cl 0.5000 0.5000 0.0000